No. 1
# PBE Pm2SmY5Sc, relaxed
# formation energy from the elements	134	kJ/mol of formula units
# space group	Cmc2_1, No. 36
data_Pm2SmY5Sc
_cell_length_a 5.600
_cell_length_b 10.396
_cell_length_c 10.435
_cell_angle_alpha 90.00
_cell_angle_beta 90.00
_cell_angle_gamma 105.63
_symmetry_space_group_name_H-M 'P 1'
_symmetry_Int_Tables_number 1
loop_
_symmetry_equiv_pos_as_xyz
'x,y,z'
loop_
_atom_site_label
_atom_site_type_symbol
_atom_site_fract_x
_atom_site_fract_y
_atom_site_fract_z
Y1 Y 0.370 0.740 0.020
Y2 Y 0.702 0.405 0.201
Sc1 Sc 0.193 0.386 0.016
Pm1 Pm 0.885 0.769 0.234
Pm2 Pm 0.888 0.777 0.814
Y3 Y 0.273 0.546 0.330
Sm1 Sm 0.590 0.180 0.953
Y4 Y 0.983 0.967 0.517
Sc2 Sc 0.807 0.614 0.516
Y5 Y 0.519 0.037 0.238
Y6 Y 0.298 0.595 0.701
Y7 Y 0.017 0.033 0.017
Pm3 Pm 0.112 0.223 0.314
Y8 Y 0.727 0.454 0.830
Y9 Y 0.481 0.963 0.738
Y10 Y 0.630 0.260 0.520
Pm4 Pm 0.115 0.231 0.734
Sm2 Sm 0.410 0.820 0.453

No. 2
# PBE Ca2FeAgRu, relaxed
# formation energy from the elements	244	kJ/mol of formula units
# space group	P4/mmm, No. 123
data_Ca2FeAgRu
_cell_length_a 5.401
_cell_length_b 4.268
_cell_length_c 5.401
_cell_angle_alpha 90.00
_cell_angle_beta 90.00
_cell_angle_gamma 90.00
_symmetry_space_group_name_H-M 'P 1'
_symmetry_Int_Tables_number 1
loop_
_symmetry_equiv_pos_as_xyz
'x,y,z'
loop_
_atom_site_label
_atom_site_type_symbol
_atom_site_fract_x
_atom_site_fract_y
_atom_site_fract_z
Ag1 Ag 0.500 0.500 0.500
Ca1 Ca 0.500 0.000 0.000
Fe1 Fe 0.000 0.000 0.000
Ru1 Ru 0.000 0.500 0.000
Ca2 Ca 0.000 0.000 0.500

No. 3
# PBE RbHg2Ge2, relaxed
# formation energy from the elements	15	kJ/mol of formula units
# space group	I4/mmm, No. 139
data_RbHg2Ge2
_cell_length_a 4.706
_cell_length_b 4.706
_cell_length_c 7.070
_cell_angle_alpha 70.56
_cell_angle_beta 70.56
_cell_angle_gamma 90.00
_symmetry_space_group_name_H-M 'P 1'
_symmetry_Int_Tables_number 1
loop_
_symmetry_equiv_pos_as_xyz
'x,y,z'
loop_
_atom_site_label
_atom_site_type_symbol
_atom_site_fract_x
_atom_site_fract_y
_atom_site_fract_z
Ge1 Ge 0.750 0.250 0.500
Ge2 Ge 0.250 0.750 0.500
Rb1 Rb 0.000 0.000 0.000
Hg1 Hg 0.383 0.383 0.235
Hg2 Hg 0.617 0.617 0.765

No. 4
# PBE LiAgSO4, relaxed
# E_form (uncorrected)	-1.376	eV per atom
# space group	I-4, No. 82
data_LiAgSO4
_cell_length_a 5.181
_cell_length_b 5.181
_cell_length_c 5.288
_cell_angle_alpha 119.33
_cell_angle_beta 119.33
_cell_angle_gamma 90.00
_symmetry_space_group_name_H-M 'P 1'
_symmetry_Int_Tables_number 1
loop_
_symmetry_equiv_pos_as_xyz
'x,y,z'
loop_
_atom_site_label
_atom_site_type_symbol
_atom_site_fract_x
_atom_site_fract_y
_atom_site_fract_z
Ag1 Ag 0.000 0.000 0.000
Li1 Li 0.500 0.500 0.000
S1 S 0.250 0.750 0.500
O1 O 0.491 0.662 0.723
O2 O 0.338 0.768 0.277
O3 O 0.232 0.061 0.723
O4 O 0.939 0.509 0.277

No. 5
# PBE Tm4Si2Br5, relaxed
# E_form (uncorrected)	-1.212	eV per atom
# space group	C2/m, No. 12
data_Tm4Si2Br5
_cell_length_a 3.898
_cell_length_b 8.006
_cell_length_c 11.288
_cell_angle_alpha 84.91
_cell_angle_beta 99.94
_cell_angle_gamma 90.00
_symmetry_space_group_name_H-M 'P 1'
_symmetry_Int_Tables_number 1
loop_
_symmetry_equiv_pos_as_xyz
'x,y,z'
loop_
_atom_site_label
_atom_site_type_symbol
_atom_site_fract_x
_atom_site_fract_y
_atom_site_fract_z
Si1 Si 0.551 0.452 0.102
Tm1 Tm 0.338 0.442 0.676
Si2 Si 0.449 0.548 0.898
Br1 Br 0.213 0.327 0.427
Br2 Br 0.787 0.673 0.573
Br3 Br 0.142 0.814 0.284
Br4 Br 0.500 0.000 0.000
Tm2 Tm 0.662 0.558 0.324
Tm3 Tm 0.019 0.711 0.038
Br5 Br 0.858 0.186 0.716
Tm4 Tm 0.981 0.289 0.962

No. 6
# PBE MgAl4Ni2, relaxed
# formation energy from the elements	-235	kJ/mol of formula units
# space group	Pnma, No. 62
data_MgAl4Ni2
_cell_length_a 3.888
_cell_length_b 6.889
_cell_length_c 15.923
_cell_angle_alpha 90.00
_cell_angle_beta 90.00
_cell_angle_gamma 90.00
_symmetry_space_group_name_H-M 'P 1'
_symmetry_Int_Tables_number 1
loop_
_symmetry_equiv_pos_as_xyz
'x,y,z'
loop_
_atom_site_label
_atom_site_type_symbol
_atom_site_fract_x
_atom_site_fract_y
_atom_site_fract_z
Ni1 Ni 0.750 0.083 0.227
Mg1 Mg 0.250 0.080 0.354
Ni2 Ni 0.750 0.245 0.952
Al1 Al 0.250 0.129 0.529
Al2 Al 0.750 0.494 0.569
Mg2 Mg 0.250 0.420 0.854
Al3 Al 0.250 0.885 0.190
Ni3 Ni 0.250 0.917 0.773
Al4 Al 0.250 0.224 0.691
Al5 Al 0.750 0.629 0.971
Al6 Al 0.750 0.006 0.069
Al7 Al 0.250 0.994 0.931
Al8 Al 0.750 0.115 0.810
Al9 Al 0.250 0.276 0.191
Ni4 Ni 0.250 0.755 0.048
Al10 Al 0.250 0.371 0.029
Al11 Al 0.250 0.615 0.690
Al12 Al 0.750 0.776 0.309
Ni5 Ni 0.750 0.417 0.727
Al13 Al 0.250 0.506 0.431
Al14 Al 0.750 0.385 0.310
Al15 Al 0.750 0.871 0.471
Al16 Al 0.750 0.724 0.809
Ni6 Ni 0.750 0.255 0.452
Mg3 Mg 0.750 0.580 0.146
Ni7 Ni 0.250 0.745 0.548
Ni8 Ni 0.250 0.583 0.273
Mg4 Mg 0.750 0.920 0.646